Entry 1:
! Tb5YSb6, relaxed, DFT GGA-PBE; values from VASP
! Raw total energy ... -68.17 eV/cell
! ΔE_f (raw) ... -1.1515 eV/atom
! Magnetization ... 0.00 μB/f.u.
&SYSTEM
  ibrav = 0, nat = 12, ntyp = 3
/
ATOMIC_SPECIES
Tb 158.93 Tb.upf
Y 88.91 Y.upf
Sb 121.76 Sb.upf
CELL_PARAMETERS angstrom
-6.4816 2.3647 3.2418
-5.4722 0.4517 -5.2910
-4.4202 -6.0441 -1.4391
ATOMIC_POSITIONS angstrom
Tb -7.0993 -2.7705 -0.2206
Tb -3.2974 -1.8639 -2.2434
Tb -5.9769 1.4082 -1.0246
Tb -6.5950 -3.7284 -4.4867
Tb -9.2747 -0.4571 -3.2678
Y 0.0000 0.0000 0.0000
Sb -6.7908 -0.2014 1.5121
Sb -6.2850 -1.1589 -2.7576
Sb -2.9861 0.7037 -0.5112
Sb -8.9678 2.1128 -1.5381
Sb -10.0891 -2.0687 -0.7307
Sb -9.5833 -3.0262 -5.0004

Entry 2:
! TbY5Sb6, relaxed, DFT GGA-PBE; values from VASP
! Raw total energy ... -75.64 eV/cell
! ΔE_f (raw) ... -1.1631 eV/atom
! Magnetization ... 0.00 μB/f.u.
&SYSTEM
  ibrav = 0, nat = 12, ntyp = 3
/
ATOMIC_SPECIES
Tb 158.93 Tb.upf
Y 88.91 Y.upf
Sb 121.76 Sb.upf
CELL_PARAMETERS angstrom
7.6047 0.2080 0.0000
2.3405 7.2421 0.0000
1.1702 3.6211 6.5900
ATOMIC_POSITIONS angstrom
Tb 0.0000 0.0000 0.0000
Y 4.9726 3.7251 4.3968
Y 1.1702 3.6211 2.1987
Y 4.9726 3.7251 0.0000
Y 2.3405 7.2421 4.3914
Y 6.1428 7.3462 2.1932
Sb 6.2869 1.9691 2.1989
Sb 3.6583 5.4811 2.1989
Sb 2.4867 1.8656 0.0000
Sb 7.4585 5.5846 0.0000
Sb 7.4572 5.5902 4.3911
Sb 4.8285 9.1021 4.3911

Entry 3:
! TbZnSb2, relaxed, DFT GGA-PBE; values from VASP
! Raw total energy ... -63.93 eV/cell
! ΔE_f (raw) ... -0.4585 eV/atom
! Magnetization ... 0.00 μB/f.u.
&SYSTEM
  ibrav = 0, nat = 16, ntyp = 3
/
ATOMIC_SPECIES
Tb 158.93 Tb.upf
Zn 65.41 Zn.upf
Sb 121.76 Sb.upf
CELL_PARAMETERS angstrom
-3.2029 3.4294 -1.6234
-1.9017 -3.9679 -4.6301
-8.7682 -4.6130 7.5546
ATOMIC_POSITIONS angstrom
Tb -7.2211 -4.4413 1.0680
Tb -10.6453 -2.2018 4.9610
Tb -6.6517 -0.7101 0.2331
Tb -3.2275 -2.9496 -3.6599
Zn -8.7261 -4.5819 3.7404
Zn -10.2073 -4.2876 -0.3092
Zn -5.1467 -0.5695 -2.4393
Zn -3.6655 -0.8638 1.6103
Sb -5.7702 -2.1876 2.9664
Sb -12.0876 -4.4377 3.0836
Sb -8.1026 -2.9638 -1.6653
Sb -1.7852 -0.7137 -1.7825
Sb -9.5896 -6.3664 1.6743
Sb -9.1471 -2.0927 2.2358
Sb -4.2832 1.2150 -0.3732
Sb -4.7257 -3.0587 -0.9347

Entry 4:
! TbZnSb2, relaxed, DFT GGA-PBE; values from VASP
! Raw total energy ... -15.90 eV/cell
! ΔE_f (raw) ... -0.4367 eV/atom
! Magnetization ... 0.00 μB/f.u.
&SYSTEM
  ibrav = 0, nat = 4, ntyp = 3
/
ATOMIC_SPECIES
Sb 121.76 Sb.upf
Zn 65.41 Zn.upf
Tb 158.93 Tb.upf
CELL_PARAMETERS angstrom
4.2117 0.0000 0.0000
0.0000 4.8047 0.0000
0.0000 0.0000 4.8047
ATOMIC_POSITIONS angstrom
Sb 0.0000 0.0000 2.4024
Sb 0.0000 2.4024 0.0000
Zn 2.1058 0.0000 0.0000
Tb 2.1058 2.4024 2.4024

Entry 5:
! Tb8Zn2Sb, relaxed, DFT GGA-PBE; values from VASP
! Raw total energy ... -45.83 eV/cell
! ΔE_f (raw) ... -0.1926 eV/atom
! Magnetization ... 0.00 μB/f.u.
&SYSTEM
  ibrav = 0, nat = 11, ntyp = 3
/
ATOMIC_SPECIES
Tb 158.93 Tb.upf
Zn 65.41 Zn.upf
Sb 121.76 Sb.upf
CELL_PARAMETERS angstrom
5.5016 -0.1430 -0.2146
-1.1215 8.0402 -0.3359
-1.1215 -3.4066 7.2906
ATOMIC_POSITIONS angstrom
Tb 3.1467 4.9434 4.4688
Tb 3.1467 2.2201 6.2832
Tb 0.2980 2.7497 4.1272
Tb 1.6293 5.2523 1.3666
Tb 1.6293 -0.7617 5.3735
Tb 2.9606 1.7409 2.6129
Tb 0.1119 2.2705 0.4569
Tb 0.1119 -0.4528 2.2713
Zn -1.1215 0.1285 4.9353
Zn -1.1215 4.5051 2.0194
Sb 2.7508 -0.0715 -0.1073

Entry 6:
! TbZnSb2, relaxed, DFT GGA-PBE; values from VASP
! Raw total energy ... -15.34 eV/cell
! ΔE_f (raw) ... -0.2984 eV/atom
! Magnetization ... 0.00 μB/f.u.
&SYSTEM
  ibrav = 0, nat = 4, ntyp = 3
/
ATOMIC_SPECIES
Sb 121.76 Sb.upf
Zn 65.41 Zn.upf
Tb 158.93 Tb.upf
CELL_PARAMETERS angstrom
4.2615 0.0000 0.0000
2.1308 3.6906 0.0000
2.1308 1.2302 6.9109
ATOMIC_POSITIONS angstrom
Sb 2.1308 1.2302 1.5358
Sb 6.3923 3.6906 5.3751
Zn 0.0000 0.0000 0.0000
Tb 4.2615 2.4604 3.4555

Entry 7:
! TbZnSb, relaxed, DFT GGA-PBE; values from VASP
! Distance to the lowest polymorph of the same formula ... 89 meV/atom
! Raw total energy ... -23.18 eV/cell
! ΔE_f (raw) ... -0.5217 eV/atom
! Magnetization ... 0.00 μB/f.u.
&SYSTEM
  ibrav = 0, nat = 6, ntyp = 3
/
ATOMIC_SPECIES
Tb 158.93 Tb.upf
Zn 65.41 Zn.upf
Sb 121.76 Sb.upf
CELL_PARAMETERS angstrom
-0.1320 -4.2952 4.3423
3.0067 -2.3354 2.0788
4.3850 3.8988 8.2873
ATOMIC_POSITIONS angstrom
Tb 1.4798 -3.3072 5.3685
Tb 5.7799 0.5755 9.3399
Zn 4.8917 -3.4589 9.6197
Zn 2.3680 0.7271 5.0887
Sb 1.5393 -1.1135 3.2428
Sb 5.7204 -1.6182 11.4656

Entry 8:
! Tb5Zn2Sb, relaxed, DFT GGA-PBE; values from VASP
! Raw total energy ... -67.25 eV/cell
! ΔE_f (raw) ... -0.4756 eV/atom
! Magnetization ... 0.00 μB/f.u.
&SYSTEM
  ibrav = 0, nat = 16, ntyp = 3
/
ATOMIC_SPECIES
Tb 158.93 Tb.upf
Zn 65.41 Zn.upf
Sb 121.76 Sb.upf
CELL_PARAMETERS angstrom
7.3994 0.0000 -3.4929
-1.6488 7.2133 -3.4929
-0.4900 -0.6147 8.5458
ATOMIC_POSITIONS angstrom
Tb 2.2662 4.6247 1.8488
Tb 4.1324 6.9656 -3.7817
Tb 0.0000 0.0000 0.0000
Tb 2.8753 3.6067 -3.4929
Tb 1.1281 -0.3669 5.3417
Tb 4.5112 1.0180 2.9247
Tb -1.1169 3.2397 4.2659
Tb 0.7493 5.5807 -1.3646
Tb 6.3774 3.3589 -2.7059
Tb 2.9943 1.9740 -0.2888
Zn 0.4338 2.6036 -1.7464
Zn 4.4994 1.0031 -2.7179
Zn 1.2512 6.2103 -4.2679
Zn 5.3167 4.6097 -5.2393
Sb 4.0679 5.1027 -0.9664
Sb 1.1926 1.4960 2.5265

Entry 9:
! Tb2ZnSb4, relaxed, DFT GGA-PBE; values from VASP
! Raw total energy ... -31.71 eV/cell
! ΔE_f (raw) ... -0.6699 eV/atom
! Magnetization ... 0.00 μB/f.u.
&SYSTEM
  ibrav = 0, nat = 7, ntyp = 3
/
ATOMIC_SPECIES
Tb 158.93 Tb.upf
Zn 65.41 Zn.upf
Sb 121.76 Sb.upf
CELL_PARAMETERS angstrom
4.3440 0.0000 0.0000
0.0000 4.3440 0.0000
0.0000 0.0000 9.8707
ATOMIC_POSITIONS angstrom
Tb 2.1720 0.0000 7.4288
Tb 0.0000 2.1720 2.4419
Zn 2.1720 2.1720 4.9353
Sb 2.1720 0.0000 3.3542
Sb 0.0000 2.1720 6.5165
Sb 2.1720 2.1720 0.0000
Sb 0.0000 0.0000 0.0000

Entry 10:
! TbZnSb, relaxed, DFT GGA-PBE; values from VASP
! Distance to the lowest polymorph of the same formula ... 0 meV/atom
! Raw total energy ... -11.86 eV/cell
! ΔE_f (raw) ... -0.6109 eV/atom
! Magnetization ... 0.00 μB/f.u.
&SYSTEM
  ibrav = 0, nat = 3, ntyp = 3
/
ATOMIC_SPECIES
Sb 121.76 Sb.upf
Zn 65.41 Zn.upf
Tb 158.93 Tb.upf
CELL_PARAMETERS angstrom
-0.9028 3.1598 2.7766
-1.2175 -2.9837 2.9995
4.1843 1.3564 -0.1831
ATOMIC_POSITIONS angstrom
Sb 2.1528 0.7180 1.5880
Zn -0.0327 0.1146 0.1007
Tb -0.0560 0.7000 3.9043

Entry 11:
! Tb5ZnSb2, relaxed, DFT GGA-PBE; values from VASP
! Raw total energy ... -70.92 eV/cell
! ΔE_f (raw) ... -0.3490 eV/atom
! Magnetization ... 0.00 μB/f.u.
&SYSTEM
  ibrav = 0, nat = 16, ntyp = 3
/
ATOMIC_SPECIES
Tb 158.93 Tb.upf
Zn 65.41 Zn.upf
Sb 121.76 Sb.upf
CELL_PARAMETERS angstrom
5.7394 0.0000 0.0000
-2.8697 5.8419 0.0000
0.0000 0.0000 13.9665
ATOMIC_POSITIONS angstrom
Tb 2.8697 5.0142 12.4879
Tb 2.8697 5.0142 8.4619
Tb 0.0000 4.3879 6.2506
Tb 0.0000 4.3879 0.7326
Tb 2.8697 1.0748 3.4916
Tb 0.0000 4.7671 10.4749
Tb 2.8697 1.4540 7.7159
Tb 2.8697 1.4540 13.2339
Tb 0.0000 0.8277 1.4787
Tb 0.0000 0.8277 5.5046
Zn 2.8697 2.4587 10.4749
Zn 0.0000 3.3832 3.4916
Sb 2.8697 3.5462 5.3884
Sb 2.8697 3.5462 1.5949
Sb 0.0000 2.2957 8.5781
Sb 0.0000 2.2957 12.3717

Entry 12:
! Tb3ZrSb4, relaxed, DFT GGA-PBE; values from VASP
! Raw total energy ... -46.95 eV/cell
! ΔE_f (raw) ... -1.0021 eV/atom
! Magnetization ... 0.00 μB/f.u.
&SYSTEM
  ibrav = 0, nat = 8, ntyp = 3
/
ATOMIC_SPECIES
Tb 158.93 Tb.upf
Zr 91.22 Zr.upf
Sb 121.76 Sb.upf
CELL_PARAMETERS angstrom
-0.5904 2.1747 -3.6916
-3.9649 -5.7358 -2.7447
-4.6119 4.7368 3.5279
ATOMIC_POSITIONS angstrom
Tb -2.3059 2.3684 1.7640
Tb -4.5836 0.5879 -1.4542
Tb -1.9825 -2.8679 -1.3724
Zr -0.2952 1.0873 -1.8458
Sb -2.0543 -0.2393 0.1876
Sb -4.4183 -2.0882 -3.0571
Sb -6.5225 -0.7597 0.5956
Sb -4.7489 3.2640 0.1487